DFT (GGA-PBE) results for a relaxed structure of Li3Zn2Ni.

Values from the calculation:
formation energy: -115 meV/atom
distance to the lowest polymorph of the same formula: 21 meV per atom

```
Li3Zn2Ni
1.0
6.776 -2.053 0.000
6.776 2.053 0.000
-1.075 0.000 6.450
Li Zn Ni
6 4 2
Cartesian
0.391 0.000 2.169
3.434 0.000 3.601
4.350 0.000 6.109
8.127 0.000 0.341
9.044 0.000 2.849
12.087 0.000 4.281
3.075 0.000 0.922
5.531 0.000 2.190
6.947 0.000 4.260
9.403 0.000 5.528
1.302 0.000 4.990
11.176 0.000 1.461
```

DFT (GGA-PBE) results for a relaxed structure of LiZn4Ni3.

Values from the calculation:
formation energy: -235 meV/atom

```
LiZn4Ni3
1.0
-2.018 2.018 6.073
2.018 -2.018 6.073
2.018 2.018 -6.073
Li Zn Ni
1 4 3
Cartesian
0.000 0.000 0.000
2.018 0.000 1.536
2.018 0.000 4.538
0.000 2.018 1.536
0.000 2.018 4.538
0.000 0.000 3.087
0.000 0.000 6.073
0.000 0.000 9.060
```

DFT (GGA-PBE) results for a relaxed structure of Li2ZnNi2.

Values from the calculation:
formation energy: -47 meV/atom
distance to the lowest polymorph of the same formula: 31 meV per atom

```
Li2ZnNi2
1.0
6.429 -1.917 0.000
6.429 1.917 0.000
-0.439 0.000 2.467
Li Zn Ni
2 1 2
Cartesian
1.355 0.000 0.258
11.064 0.000 2.209
6.210 0.000 1.233
3.668 0.000 0.733
8.751 0.000 1.734
```

DFT (GGA-PBE) results for a relaxed structure of LiZn5Ni.

Values from the calculation:
formation energy: -29 meV/atom
distance to the lowest polymorph of the same formula: 55 meV per atom

```
LiZn5Ni
1.0
3.874 -3.384 0.000
3.874 3.384 0.000
-3.311 0.000 8.248
Li Zn Ni
2 10 2
Cartesian
1.391 3.080 6.186
3.047 -3.080 2.062
-0.210 1.008 6.219
1.187 0.766 4.088
3.047 1.083 2.062
1.445 -1.008 2.096
-0.469 -0.766 8.212
4.907 0.766 0.036
2.993 1.008 6.152
1.391 -1.083 6.186
3.251 -0.766 4.160
4.648 -1.008 2.028
1.937 1.692 0.000
0.282 -1.692 4.124
```